Compound: TbNd6Hg
Source: Alexandria via LeMat-Bulk
Functional: PBE-GGA
Structure: relaxed

Lattice parameters (Å, degrees): 6.645 6.651 8.981 111.58 90.18 119.77
Fractional positions:
1 Tb 0.000 0.000 0.000
2 Nd 0.071 0.535 0.215
3 Nd 0.317 0.250 0.784
4 Nd 0.469 0.149 0.215
5 Nd 0.531 0.851 0.785
6 Nd 0.683 0.750 0.216
7 Nd 0.929 0.465 0.785
8 Hg 0.500 0.000 0.500

Results
space group: P-1, No. 2
ΔE_f: 346 meV/atom
magnetization: 0.0 μB per cell